1.
A crystal of La2CdOs relaxed with PBEsol, computed with SCAN.

Computed properties:
SG: R-3m
Formation energy from the elements (eV per atom): -0.17
Crystal system: trigonal
Volume (Å³/f.u.): 117.9

Unit cell a=8.2667 b=8.2667 c=8.2667 alpha=29.05 beta=29.05 gamma=29.05
Closest atoms and distances in Å follow each position.
Positions (direct):
La1 0.2296 0.2296 0.2296  3 Os 2.82
La2 0.7704 0.7704 0.7704  3 Os 2.82
Cd1 0.0000 0.0000 0.0000  6 La 3.43
Os1 0.5000 0.5000 0.5000  6 La 2.82



2.
A crystal of AlAgAs3 relaxed with PBEsol, computed with SCAN.

Computed properties:
SG: Pm-3m
Formation energy from the elements (eV per atom): 0.67
Crystal system: cubic
Volume (Å³/f.u.): 109.2

Unit cell a=4.7793 b=4.7793 c=4.7793 alpha=90.00 beta=90.00 gamma=90.00
Closest atoms and distances in Å follow each position.
Positions (direct):
Al1 0.0000 0.0000 0.0000  6 As 2.39
Ag1 0.5000 0.5000 0.5000  12 As 3.38
As1 0.0000 0.0000 0.5000  2 Al 2.39
As2 0.0000 0.5000 0.0000  2 Al 2.39
As3 0.5000 0.0000 0.0000  2 Al 2.39



3.
A crystal of Mn4ZnSe relaxed with PBEsol, computed with SCAN.

Computed properties:
SG: F-43m
Raw formation energy (eV per atom): 0.6226
Crystal system: cubic
Volume (Å³/f.u.): 73.3

Unit cell a=4.6972 b=4.6972 c=4.6972 alpha=60.00 beta=60.00 gamma=60.00
Closest atoms and distances in Å follow each position.
Positions (direct):
Mn1 0.1246 0.1246 0.1246  6 Mn 2.34-2.36
Mn2 0.1246 0.1246 0.6263  6 Mn 2.34-2.36
Mn3 0.1246 0.6263 0.1246  6 Mn 2.34-2.36
Mn4 0.6263 0.1246 0.1246  6 Mn 2.34-2.36
Zn1 0.5000 0.5000 0.5000  12 Mn 2.75, 4 Se 2.88
Se1 0.7500 0.7500 0.7500  12 Mn 2.75, 4 Zn 2.88



4.
A crystal of Ca2ZrRu relaxed with PBEsol, computed with SCAN.

Computed properties:
SG: P4mm
Energy above the most stable polymorph in this dataset (meV per atom): 0.0
Formation energy from the elements (eV per atom): -0.13
Crystal system: tetragonal
Volume (Å³/f.u.): 102.6

Unit cell a=3.3551 b=3.3551 c=9.1187 alpha=90.00 beta=90.00 gamma=90.00
Closest atoms and distances in Å follow each position.
Positions (direct):
Ca1 0.0000 0.0000 0.0000  4 Ca 3.36, 4 Zr 3.60
Ca2 0.5000 0.5000 0.3509  4 Ru 3.09, 1 Zr 3.22, 4 Ca 3.36
Zr1 0.5000 0.5000 0.7037  4 Ru 2.67
Ru1 0.0000 0.0000 0.5687  4 Zr 2.67



5.
A crystal of CaMg relaxed with PBEsol, computed with SCAN.

Computed properties:
SG: Pnma
Formation energy from the elements (eV per atom): -0.03
Crystal system: orthorhombic
Volume (Å³/f.u.): 60.5

Unit cell a=6.1471 b=5.6516 c=6.9614 alpha=90.00 beta=90.00 gamma=90.00
Closest atoms and distances in Å follow each position.
Positions (direct):
Ca1 0.1102 0.2500 0.1232  8 Mg 3.33-3.72, 4 Ca 3.54-3.57
Ca2 0.3898 0.7500 0.6232  8 Mg 3.33-3.72, 4 Ca 3.54-3.57
Ca3 0.6102 0.2500 0.3768  8 Mg 3.33-3.72, 4 Ca 3.54-3.57
Ca4 0.8898 0.7500 0.8768  8 Mg 3.33-3.72, 4 Ca 3.54-3.57
Mg1 0.0738 0.2500 0.6249  8 Ca 3.33-3.72, 4 Mg 3.44-3.53
Mg2 0.4262 0.7500 0.1249  8 Ca 3.33-3.72, 4 Mg 3.44-3.53
Mg3 0.5738 0.2500 0.8751  8 Ca 3.33-3.72, 4 Mg 3.44-3.53
Mg4 0.9262 0.7500 0.3751  8 Ca 3.33-3.72, 4 Mg 3.44-3.53



6.
A crystal of Sr2CaCu2Bi2O8 relaxed with PBEsol, computed with SCAN.

Computed properties:
SG: I4/mmm
Energy above the most stable polymorph in this dataset (meV per atom): 49.2
Raw formation energy (eV per atom): -1.8031
Crystal system: tetragonal
Volume (Å³/f.u.): 210.2

Unit cell a=15.6008 b=15.6008 c=15.6008 alpha=166.39 beta=166.39 gamma=19.29
Closest atoms and distances in Å follow each position.
Positions (direct):
Sr1 0.1106 0.1106 0.0000  9 O 2.59-2.76
Sr2 0.8894 0.8894 0.0000  9 O 2.59-2.76
Ca1 0.0000 0.0000 0.0000  8 O 2.43
Cu1 0.4504 0.4504 0.0000  4 O 1.85
Cu2 0.5496 0.5496 0.0000  4 O 1.85
Bi1 0.2983 0.2983 0.0000  1 O 2.07
Bi2 0.7017 0.7017 0.0000  1 O 2.07
O1 0.0515 0.5515 0.5000  2 Cu 1.85
O2 0.2005 0.2005 0.0000  4 Bi 2.61, 1 Sr 2.76
O3 0.3656 0.3656 0.0000  1 Bi 2.07
O4 0.4485 0.9485 0.5000  2 Cu 1.85
O5 0.5515 0.0515 0.5000  2 Cu 1.85
O6 0.6344 0.6344 0.0000  1 Bi 2.07
O7 0.7995 0.7995 0.0000  4 Bi 2.61, 1 Sr 2.76
O8 0.9485 0.4485 0.5000  2 Cu 1.85



Number 1: DOS(E_F) 2.2 states/eV/cell, M_tot 0.0 μB/f.u.. Number 2: DOS(E_F) 3.0 states/eV/cell, M_tot 0.0 μB/f.u.. Number 3: DOS(E_F) 6.0 states/eV/cell, M_tot 0.0 μB/f.u.. Number 4: DOS(E_F) 1.9 states/eV/cell, M_tot 0.0 μB/f.u.. Number 5: DOS(E_F) 4.6 states/eV/cell, M_tot 0.0 μB/f.u.. Number 6: DOS(E_F) 2.1 states/eV/cell, M_tot 0.0 μB/f.u..